{
  "formula": "Li7V5O12",
  "functional": "PBE with a Hubbard U",
  "state": "optimized geometry",
  "lattice": [[5.081, 0.009, -0.008], [-2.379, 4.489, -0.008], [0.692, 1.152, 9.558]],
  "species": ["O", "O", "O", "O", "O", "O", "O", "O", "O", "O", "O", "O", "Li", "Li", "Li", "Li", "Li", "Li", "Li", "V", "V", "V", "V", "V"],
  "fractional_positions": [[0.651, 0.161, 0.371], [0.462, 0.273, 0.872], [0.839, 0.349, 0.629], [0.937, 0.773, 0.378], [0.227, 0.063, 0.622], [0.560, 0.743, 0.620], [0.168, 0.648, 0.867], [0.756, 0.931, 0.878], [0.352, 0.832, 0.133], [0.069, 0.244, 0.122], [0.257, 0.440, 0.380], [0.727, 0.538, 0.128], [0.335, 0.154, 0.245], [0.142, 0.320, 0.757], [0.761, 0.239, 0.000], [0.680, 0.858, 0.243], [0.081, 0.919, 0.000], [0.846, 0.665, 0.755], [0.245, 0.755, 0.500], [0.575, 0.425, 0.500], [0.426, 0.574, 0.000], [0.998, 0.512, 0.239], [0.488, 0.002, 0.761], [0.916, 0.084, 0.500]],
  "energy_ev_per_atom": -6.68,
  "polymorph_energy_kj_per_mol_fu": 36.6
}